Compound: KHf2Cr2O7
Source: Alexandria
Functional: GGA+U
Structure: relaxed

Computed properties:
Fermi-level density of states, states/eV per cell: 1.43
VASP energy, eV/atom: -8.51

CIF file:
```
data_KHf2Cr2O7
_chemical_formula_sum 'K1 Hf2 Cr2 O7'
_cell_length_a 4.189
_cell_length_b 4.217
_cell_length_c 9.232
_cell_angle_alpha 103.20
_cell_angle_beta 103.11
_cell_angle_gamma 90.00
_symmetry_space_group_name_H-M 'P 1'
_symmetry_Int_Tables_number 1
loop_
_symmetry_equiv_pos_as_xyz
'x,y,z'
loop_
_atom_site_label
_atom_site_fract_x
_atom_site_fract_y
_atom_site_fract_z
Hf1 0.385 0.385 0.770
Hf2 0.615 0.615 0.230
O1 0.740 0.740 0.480
O2 0.869 0.369 0.737
O3 0.370 0.870 0.739
O4 0.131 0.631 0.263
O5 0.630 0.130 0.261
O6 0.500 0.500 0.000
O7 0.260 0.260 0.520
Cr1 0.749 0.249 0.499
Cr2 0.251 0.751 0.501
K1 0.000 0.000 0.000
```